Record 1
{"formula": "Tm6As2HSe3", "functional": "PBE", "state": "optimized geometry", "energy_ev_per_cell": -66.2, "vol_a3_per_cell": 266, "density_g_cm3": 8.751, "space_group": "C2/m", "lattice": [[3.9914, 0.0000, 0.0000], [0.0000, 7.9996, 0.1908], [-1.9957, -2.4015, 8.2708]], "species": ["Se", "Se", "Se", "As", "As", "H", "Tm", "Tm", "Tm", "Tm", "Tm", "Tm"], "frac_coords": [[0.1753, 0.8383, 0.3507], [0.8247, 0.1617, 0.6493], [0.5000, 0.5000, 0.0000], [0.1629, 0.3289, 0.3258], [0.8371, 0.6711, 0.6742], [0.5000, 0.0000, 0.0000], [0.3542, 0.9239, 0.7084], [0.3305, 0.4222, 0.6611], [0.9970, 0.2399, 0.9941], [0.6695, 0.5778, 0.3389], [0.6458, 0.0761, 0.2916], [0.0030, 0.7601, 0.0059]]}

=====

Record 2
{"formula": "Ba6Hg3Ir", "functional": "PBE", "state": "optimized geometry", "energy_ev_per_cell": -49.6, "vol_a3_per_cell": 898, "density_g_cm3": 5.981, "space_group": "P2_1/c", "lattice": [[-3.7992, 0.5994, 7.1961], [7.1834, -3.8283, 4.1113], [4.6007, 10.9657, 2.1723]], "species": ["Ba", "Ba", "Ba", "Ba", "Ba", "Ba", "Ba", "Ba", "Ba", "Ba", "Ba", "Ba", "Hg", "Hg", "Hg", "Hg", "Hg", "Hg", "Ir", "Ir"], "frac_coords": [[0.1482, 0.0438, 0.7647], [0.8518, 0.9562, 0.2353], [0.6895, 0.1646, 0.9377], [0.8517, 0.7013, 0.9297], [0.3105, 0.8354, 0.0623], [0.3518, 0.5438, 0.7353], [0.6482, 0.4562, 0.2647], [0.1895, 0.3354, 0.4377], [0.6483, 0.2013, 0.5703], [0.3517, 0.7987, 0.4297], [0.8105, 0.6646, 0.5623], [0.1483, 0.2987, 0.0703], [0.5546, 0.8863, 0.7560], [0.0000, 0.0000, 0.5000], [0.5000, 0.5000, 0.0000], [0.0546, 0.6137, 0.2560], [0.4454, 0.1137, 0.2440], [0.9454, 0.3863, 0.7440], [0.0000, 0.0000, 0.0000], [0.5000, 0.5000, 0.5000]]}

=====

Record 3
{"formula": "NdTl2I3Cl3", "functional": "PBE", "state": "optimized geometry", "energy_ev_per_cell": -30.5, "vol_a3_per_cell": 293, "density_g_cm3": 5.897, "space_group": "P-62m", "lattice": [[4.0669, 0.0000, 0.0000], [0.0000, 9.1188, 0.0000], [0.0000, -4.5594, 7.8971]], "species": ["Tl", "Tl", "I", "I", "I", "Cl", "Cl", "Cl", "Nd"], "frac_coords": [[0.5000, 0.3333, 0.6667], [0.5000, 0.6667, 0.3333], [0.0000, 0.0000, 0.4121], [0.0000, 0.5879, 0.5879], [0.0000, 0.4121, 0.0000], [0.5000, 0.0000, 0.7839], [0.5000, 0.2161, 0.2161], [0.5000, 0.7839, 0.0000], [0.0000, 0.0000, 0.0000]]}